Here is Li3Fe3WO8 at its PBEsol-relaxed geometry from Alexandria via LeMat-Bulk. Energies are from SCAN.

Values from the calculation:
- Total magnetic moment: 5.004 μB per cell
- Crystal system: monoclinic
- Space group: C2/m (12)
- Formation energy (no corrections): -1.849 eV per atom

Geometry as POSCAR:
```
Li3Fe3WO8
1.0
-0.6379 -2.5157 -5.3704
4.0124 -3.9137 -2.0396
-1.1130 -5.6571 -0.8205
Li O Fe W
3 8 3 1
Direct
0.0000 0.0000 0.0000 Li
0.5000 0.0000 0.5000 Li
0.0000 0.5000 0.5000 Li
0.7463 0.7463 0.2256 O
0.7683 0.2402 0.2575 O
0.7519 0.7519 0.7716 O
0.2402 0.7683 0.2575 O
0.2537 0.2537 0.7744 O
0.7598 0.2317 0.7425 O
0.2317 0.7598 0.7425 O
0.2481 0.2481 0.2284 O
0.0000 0.5000 0.0000 Fe
0.5000 0.0000 0.0000 Fe
0.5000 0.5000 0.5000 Fe
0.0000 0.0000 0.5000 W
```

***

Here is LiZnFeO3 at its PBEsol-relaxed geometry from Alexandria via LeMat-Bulk. Energies are from SCAN.

Values from the calculation:
- Total magnetic moment: 1.000 μB per cell
- Crystal system: orthorhombic
- Space group: Imm2 (44)
- Formation energy (no corrections): -1.642 eV per atom

Geometry as POSCAR:
```
LiZnFeO3
1.0
-2.3080 -1.1010 -1.5266
-0.0256 -3.2257 2.3651
-1.7091 4.2634 2.4139
O Zn Li Fe
3 1 1 1
Direct
0.6667 0.1667 0.3334 O
0.3177 0.8177 0.6354 O
0.0083 0.5083 0.0166 O
0.3422 0.3422 0.6843 Zn
0.0034 0.0034 0.0069 Li
0.6617 0.6617 0.3234 Fe
```